# Nd3DyAs4

A relaxed Nd3DyAs4 crystal (PBE, the Alexandria database).

The structure belongs to space group Pm-3m (No. 221); the cell edges are 5.9892, 5.9892 and 5.9892 Å and the angles 90.00°, 90.00° and 90.00°. The distinct sites, in fractional coordinates, are Nd at (0.0000, 0.0000, 0.5000), Dy at (0.5000, 0.5000, 0.5000), As at (0.0000, 0.0000, 0.0000) and As at (0.0000, 0.5000, 0.5000).

Its energy of formation from the pure elements is -12.1 eV/f.u. The calculation puts the energy above the lowest structure with this stoichiometry at 2.6 meV/atom. The calculation puts the energy at -6.197 eV per atom.